*i*
## PmLuSb (GGA-PBE)

Data for crystalline PmLuSb at its relaxed geometry.

Cell: 4.043 5.053 5.053 Å, 120.00 90.00 90.00°
Sites, in units of the cell vectors:
Sb  0.409  0.667  0.333
Lu  0.557  0.333  0.667
Pm  0.034  0.000  0.000

Calculated volume, Å³/cell: 89.4
Magnetization, μB/atom: 0.00
Density, g cm⁻³: 8.2
SG: P3m1

=====

*ii*
## PmLuSb (GGA-PBE)

Data for crystalline PmLuSb at its relaxed geometry.

Cell: 3.965 3.965 6.129 Å, 108.87 108.87 90.00°
Sites, in units of the cell vectors:
Sb  0.626  0.626  0.253
Pm  0.960  0.960  0.919
Lu  0.264  0.264  0.528

Calculated volume, Å³/cell: 85.7
Magnetization, μB/atom: 0.33
Density, g cm⁻³: 8.6
SG: I4mm

=====

In kJ/mol of atoms, relative to the most stable structure: *i* 16.2; *ii* 0.0.

=====

*i*
## Pm2LuSc (GGA-PBE)

Data for crystalline Pm2LuSc at its relaxed geometry.

Cell: 3.583 3.583 9.475 Å, 90.00 90.00 90.00°
Sites, in units of the cell vectors:
Sc  0.500  0.500  0.000
Pm  0.000  0.000  0.758
Lu  0.500  0.500  0.500
Pm  0.000  0.000  0.242

Calculated volume, Å³/cell: 121.6
Magnetization, μB/atom: 0.00
Density, g cm⁻³: 7.0
SG: P4/mmm

=====

*ii*
## Pm2LuSc (GGA-PBE)

Data for crystalline Pm2LuSc at its relaxed geometry.

Cell: 3.522 3.522 11.441 Å, 81.15 81.15 60.00°
Sites, in units of the cell vectors:
Pm  0.748  0.748  0.757
Sc  0.000  0.000  0.000
Lu  0.500  0.500  0.500
Pm  0.252  0.252  0.243

Calculated volume, Å³/cell: 120.9
Magnetization, μB/atom: 0.00
Density, g cm⁻³: 7.0
SG: R-3m

=====

*iii*
## Pm2LuSc (GGA-PBE)

Data for crystalline Pm2LuSc at its relaxed geometry.

Cell: 5.574 5.574 5.574 Å, 60.00 60.00 60.00°
Sites, in units of the cell vectors:
Sc  0.500  0.500  0.500
Pm  0.250  0.250  0.250
Pm  0.750  0.750  0.750
Lu  0.000  0.000  0.000

Calculated volume, Å³/cell: 122.5
Magnetization, μB/atom: 0.00
Density, g cm⁻³: 6.9
SG: Fm-3m

=====

In kJ/mol of atoms, relative to the most stable structure: *i* 0.0; *ii* 0.6; *iii* 4.4.

=====

*i*
## PmSmLu (GGA-PBE)

Data for crystalline PmSmLu at its relaxed geometry.

Cell: 3.586 3.586 7.995 Å, 102.96 102.96 90.00°
Sites, in units of the cell vectors:
Pm  0.331  0.331  0.662
Lu  0.666  0.666  0.333
Sm  0.002  0.002  0.005

Calculated volume, Å³/cell: 97.5
Magnetization, μB/atom: 0.00
Density, g cm⁻³: 8.0
SG: I4mm

=====

*ii*
## PmSmLu (GGA-PBE)

Data for crystalline PmSmLu at its relaxed geometry.

Cell: 3.477 5.665 5.665 Å, 120.00 90.00 90.00°
Sites, in units of the cell vectors:
Sm  0.667  0.667  0.333
Pm  0.166  0.000  0.000
Lu  0.168  0.333  0.667

Calculated volume, Å³/cell: 96.7
Magnetization, μB/atom: 0.00
Density, g cm⁻³: 8.1
SG: P3m1

=====

In kJ/mol of atoms, relative to the most stable structure: *i* 0.0; *ii* 4.5.

=====

*i*
## Pm2LuSn (GGA-PBE)

Data for crystalline Pm2LuSn at its relaxed geometry.

Cell: 4.908 4.834 4.834 Å, 90.00 90.00 90.00°
Sites, in units of the cell vectors:
Pm  0.000  0.000  0.500
Pm  0.000  0.500  0.000
Lu  0.500  0.500  0.500
Sn  0.500  0.000  0.000

Calculated volume, Å³/cell: 114.7
Magnetization, μB/atom: 0.00
Density, g cm⁻³: 8.5
SG: P4/mmm

=====

*ii*
## Pm2LuSn (GGA-PBE)

Data for crystalline Pm2LuSn at its relaxed geometry.

Cell: 5.472 5.472 5.472 Å, 60.00 60.00 60.00°
Sites, in units of the cell vectors:
Pm  0.750  0.750  0.750
Lu  0.000  0.000  0.000
Pm  0.250  0.250  0.250
Sn  0.500  0.500  0.500

Calculated volume, Å³/cell: 115.9
Magnetization, μB/atom: 0.00
Density, g cm⁻³: 8.4
SG: Fm-3m

=====

In kJ/mol of atoms, relative to the most stable structure: *i* 0.0; *ii* 15.3.

=====

*i*
## SrPm2Lu (GGA-PBE)

Data for crystalline SrPm2Lu at its relaxed geometry.

Cell: 4.057 4.057 9.199 Å, 90.00 90.00 90.00°
Sites, in units of the cell vectors:
Pm  0.000  0.000  0.798
Sr  0.500  0.500  0.500
Lu  0.500  0.500  0.000
Pm  0.000  0.000  0.202

Calculated volume, Å³/cell: 151.4
Magnetization, μB/atom: 0.00
Density, g cm⁻³: 6.1
SG: P4/mmm

=====

*ii*
## SrPm2Lu (GGA-PBE)

Data for crystalline SrPm2Lu at its relaxed geometry.

Cell: 3.633 3.633 13.142 Å, 82.06 82.06 60.00°
Sites, in units of the cell vectors:
Sr  0.000  0.000  0.000
Lu  0.500  0.500  0.500
Pm  0.094  0.094  0.717
Pm  0.906  0.906  0.283

Calculated volume, Å³/cell: 148.3
Magnetization, μB/atom: 0.00
Density, g cm⁻³: 6.2
SG: R-3m

=====

In kJ/mol of atoms, relative to the most stable structure: *i* 0.0; *ii* 9.5.

=====

*i*
## SrPmLu (GGA-PBE)

Data for crystalline SrPmLu at its relaxed geometry.

Cell: 3.729 3.729 9.245 Å, 90.00 90.00 120.00°
Sites, in units of the cell vectors:
Pm  0.667  0.333  0.357
Sr  0.000  0.000  0.994
Lu  0.333  0.667  0.649

Calculated volume, Å³/cell: 111.3
Magnetization, μB/atom: 0.00
Density, g cm⁻³: 6.1
SG: P3m1

=====

*ii*
## SrPmLu (GGA-PBE)

Data for crystalline SrPmLu at its relaxed geometry.

Cell: 3.747 3.747 8.416 Å, 102.86 102.86 90.00°
Sites, in units of the cell vectors:
Lu  0.680  0.680  0.360
Sr  0.002  0.002  0.004
Pm  0.318  0.318  0.637

Calculated volume, Å³/cell: 112.1
Magnetization, μB/atom: 0.00
Density, g cm⁻³: 6.0
SG: I4mm

=====

In kJ/mol of atoms, relative to the most stable structure: *i* 2.3; *ii* 0.0.